DFT (GGA-PBEsol) results for Sr3B6Rh8 after structural relaxation.

## Properties
* crystal system: orthorhombic
* N(E_F): 5.3 states/eV/cell
* E_form: -0.589 eV/atom
* space group: Fmmm (69)
* electronic total energy: -7.220 eV/atom

Unit cell a=9.8244 b=8.9281 c=5.6692 alpha=81.29 beta=63.93 gamma=34.78
Last column: nearest neighbours and their distance in Å.
Fractional coordinates of all 17 atoms:
Sr: 0.0000 0.0000 0.0000  2 Sr 3.11, 12 Rh 3.13-3.18, 6 B 3.21-3.32
Sr: 0.1829 0.1829 0.8171  8 B 2.99-3.33, 10 Rh 3.05-3.29, 1 Sr 3.11
Sr: 0.8171 0.8171 0.1829  8 B 2.99-3.33, 10 Rh 3.05-3.29, 1 Sr 3.11
B: 0.1666 0.4945 0.5055  5 Rh 2.12-2.17
B: 0.3356 0.6644 0.3356  6 Rh 2.16-2.19
B: 0.4945 0.1666 0.8334  5 Rh 2.12-2.17
B: 0.5055 0.8334 0.1666  5 Rh 2.12-2.17
B: 0.6644 0.3356 0.6644  6 Rh 2.16-2.19
B: 0.8334 0.5055 0.4945  5 Rh 2.12-2.17
Rh: 0.0844 0.0844 0.4156  4 B 2.16-2.17
Rh: 0.2500 0.2500 0.2500  4 B 2.12
Rh: 0.4136 0.4136 0.5864  4 B 2.15-2.19
Rh: 0.4156 0.4156 0.0844  4 B 2.16-2.17
Rh: 0.5844 0.5844 0.9156  4 B 2.16-2.17
Rh: 0.5864 0.5864 0.4136  4 B 2.15-2.19
Rh: 0.7500 0.7500 0.7500  4 B 2.12
Rh: 0.9156 0.9156 0.5844  4 B 2.16-2.17